Here is crystalline Tl3CdO at its relaxed geometry from the Alexandria database. Energies are from PBE-GGA.

Computed properties:
excess energy over the best structure of this formula in the dataset: 0.0000 eV/atom
SG: Pm-3m, No. 221
energy: -13.5 eV for the cell shown
formation energy without anion corrections: -0.113 eV/atom
total magnetization: 0.0 Bohr magnetons per cell

a = 5.1725 Å, b = 5.1725 Å, c = 5.1725 Å
α = 90.00°, β = 90.00°, γ = 90.00°
Last column: nearest neighbours and their distance in Å.
Sites, in units of the cell vectors:
O 0.0000 0.0000 0.0000  6 Tl 2.59
Cd 0.5000 0.5000 0.5000  12 Tl 3.66
Tl 0.0000 0.0000 0.5000  2 O 2.59
Tl 0.0000 0.5000 0.0000  2 O 2.59
Tl 0.5000 0.0000 0.0000  2 O 2.59